# 1
Here is a relaxed Pr2ErZn3Pt4 crystal from Alexandria via LeMat-Bulk. Energies are from GGA-PBE.

Unit cell a=4.197 b=4.197 c=11.696 alpha=90.00 beta=90.00 gamma=90.00
Atoms (fractional coordinates):
Zn1 0.500 0.000 0.874
Pt1 0.000 0.000 0.000
Pr1 0.000 0.500 0.774
Pt2 0.000 0.500 0.343
Zn2 0.000 0.000 0.500
Er1 0.500 0.500 0.500
Pt3 0.500 0.500 0.000
Pt4 0.500 0.000 0.657
Zn3 0.000 0.500 0.126
Pr2 0.500 0.000 0.226

# 2
Here is a relaxed PrErZnPt crystal from Alexandria via LeMat-Bulk. Energies are from GGA-PBE.

Unit cell a=3.909 b=4.421 c=5.865 alpha=90.00 beta=109.46 gamma=90.00
Atoms (fractional coordinates):
Pr1 0.145 0.000 0.290
Pt1 0.422 0.000 0.844
Er1 0.862 0.500 0.724
Zn1 0.571 0.500 0.142

| no. | VASP energy (eV per atom) | spin magnetization (μB per cell) |
| --- | --- | --- |
| 1 | -5.05 | 0.0 |
| 2 | -4.92 | 0.0 |